No. 1
DFT (GGA-PBE) results for a relaxed structure of Mn2CdFeH.

Values from the calculation:
- DOS(E_F): 0.8136 states/eV/atom
- SG: Pmm2 (25)
- Energy above the most stable polymorph in this dataset: 78 meV per atom

abc: 2.777 3.972 5.553
angles: 90.00 90.00 90.00
Fractional positions:
Mn  0.000  0.000  0.000
Mn  0.500  0.500  0.245
Cd  0.000  0.000  0.508
Fe  0.500  0.500  0.781
H  0.000  0.500  0.009



No. 2
DFT (GGA-PBE) results for a relaxed structure of Pr2DyYS6.

Values from the calculation:
- DOS(E_F): 0.0000 states/eV/atom
- SG: R3 (146)
- Formation energy from raw total energies: -196 kJ/mol of atoms

abc: 7.441 7.441 7.441
angles: 56.95 56.95 56.95
Fractional positions:
Pr  0.000  0.000  0.000
Pr  0.500  0.500  0.500
Dy  0.207  0.207  0.207
Y  0.707  0.707  0.707
S  0.086  0.417  0.825
S  0.325  0.917  0.586
S  0.417  0.825  0.086
S  0.586  0.325  0.917
S  0.825  0.086  0.417
S  0.917  0.586  0.325



No. 3
DFT (GGA-PBE) results for a relaxed structure of ZrTiP2Cl.

Values from the calculation:
- DOS(E_F): 0.8686 states/eV/atom
- SG: P4/mmm (123)
- Energy above the most stable polymorph in this dataset: 0 meV per atom
- Formation energy from raw total energies: -18 kJ/mol of atoms

abc: 4.763 4.763 4.449
angles: 90.00 90.00 90.00
Fractional positions:
Zr  0.000  0.000  0.000
Ti  0.500  0.500  0.500
P  0.000  0.500  0.500
P  0.500  0.000  0.500
Cl  0.500  0.500  0.000



No. 4
DFT (GGA-PBE) results for a relaxed structure of SrSiTc2.

Values from the calculation:
- DOS(E_F): 0.9586 states/eV/atom
- SG: P4mm (99)
- Formation energy from raw total energies: 12 kJ/mol of atoms

abc: 3.135 3.135 7.650
angles: 90.00 90.00 90.00
Fractional positions:
Sr  0.000  0.000  0.000
Si  0.500  0.500  0.695
Tc  0.000  0.000  0.507
Tc  0.500  0.500  0.332



No. 5
DFT (GGA-PBE) results for a relaxed structure of TaCoBr2.

Values from the calculation:
- DOS(E_F): 0.5297 states/eV/atom
- SG: I-4m2 (119)
- Energy above the most stable polymorph in this dataset: 1247 meV per atom
- Formation energy from raw total energies: 94 kJ/mol of atoms

abc: 4.804 4.804 4.804
angles: 124.45 124.45 82.45
Fractional positions:
Ta  0.000  0.000  0.000
Co  0.750  0.250  0.500
Br  0.250  0.750  0.500
Br  0.500  0.500  0.000



No. 6
DFT (GGA-PBE) results for a relaxed structure of LaHgGeN2.

Values from the calculation:
- DOS(E_F): 0.5636 states/eV/atom
- SG: P4/mmm (123)
- Formation energy from raw total energies: 90 kJ/mol of atoms

abc: 4.308 4.308 6.555
angles: 90.00 90.00 90.00
Fractional positions:
La  0.000  0.000  0.000
Hg  0.000  0.000  0.500
Ge  0.500  0.500  0.500
N  0.000  0.500  0.000
N  0.500  0.000  0.000



No. 7
DFT (GGA-PBE) results for a relaxed structure of SiTe2Cl.

Values from the calculation:
- DOS(E_F): 0.8805 states/eV/atom
- SG: R3m (160)
- Energy above the most stable polymorph in this dataset: 203 meV per atom
- Formation energy from raw total energies: 11 kJ/mol of atoms

abc: 10.824 10.824 10.824
angles: 18.95 18.95 18.95
Fractional positions:
Si  0.000  0.000  0.000
Te  0.491  0.491  0.491
Te  0.718  0.718  0.718
Cl  0.282  0.282  0.282



No. 8
DFT (GGA-PBE) results for a relaxed structure of SrTeBr2.

Values from the calculation:
- SG: C2/m (12)
- Energy above the most stable polymorph in this dataset: 0 meV per atom
- Formation energy from raw total energies: -122 kJ/mol of atoms

abc: 6.979 6.979 5.402
angles: 96.22 96.22 36.70
Fractional positions:
Sr  0.000  0.000  0.000
Te  0.500  0.500  0.500
Br  0.339  0.339  0.796
Br  0.661  0.661  0.204



| no. | total magnetic moment (μB/f.u.) |
| --- | --- |
| 1 | 8.87 |
| 2 | 0.00 |
| 3 | 0.44 |
| 4 | 0.00 |
| 5 | 0.00 |
| 6 | 0.00 |
| 7 | 0.00 |
| 8 | 0.00 |